Record 1
The following is a DFT calculation (PBE) of a relaxed Ba5HPtAu2 crystal.

Calculated values
As for the total energy: -3.44 eV/atom. For the density of states at the Fermi level, the calculation gives 19.1 states/eV/cell. The calculated volume comes out at 36.02 Å³ per atom.

Unit cell a=4.5884 b=19.8090 c=14.2646 alpha=90.00 beta=90.00 gamma=90.00
With the nearest neighbours (Å) after each atom.
Space group Cmc2_1 (No. 36)
Inequivalent atoms, fractional coordinates:
Ba 0.0000 0.0016 0.0000 (multiplicity 4)  1 H 2.54
Ba 0.0000 0.1487 0.2521 (multiplicity 4)  1 Pt 3.08
Ba 0.0000 0.1887 0.6062 (multiplicity 4)  1 H 2.73
Ba 0.0000 0.2029 0.9098 (multiplicity 4)  2 Pt 3.15
Ba 0.0000 0.4597 0.2388 (multiplicity 4)  2 H 2.58
H 0.0000 0.0562 0.6592 (multiplicity 4)  4 Ba 2.54-2.73
Pt 0.0000 0.3042 0.2587 (multiplicity 4)  6 Ba 3.08-3.16
Au 0.0000 0.3780 0.5702 (multiplicity 4)  7 Ba 3.46-3.78
Au 0.0000 0.3823 0.9331 (multiplicity 4)  7 Ba 3.43-3.65

***

Record 2
The following is a DFT calculation (PBE) of a relaxed ReHg3Ge crystal.

Calculated values
As for the polymorph energy (0 for the lowest one): 0.000 eV/atom. As for the total energy: -2.43 eV/atom. The formation energy comes out at 1.161 eV per atom. For the density of states at the Fermi level, the calculation gives 3.0 states/eV/cell. The calculated volume comes out at 29.20 Å³ per atom.

Unit cell a=5.2654 b=5.2654 c=5.2654 alpha=90.00 beta=90.00 gamma=90.00
With the nearest neighbours (Å) after each atom.
Space group Pm-3m (No. 221)
Inequivalent atoms, fractional coordinates:
Re 0.0000 0.0000 0.0000 (multiplicity 1)  6 Hg 2.63
Hg 0.0000 0.0000 0.5000 (multiplicity 3)  2 Re 2.63
Ge 0.5000 0.5000 0.5000 (multiplicity 1)  12 Hg 3.72